Record 1
Below is an optimized crystal structure of K2InP, with properties calculated at the PBE level.

The value obtained for the formation energy is 0.0793 eV/atom. As for the energy above the lowest structure with this stoichiometry: 348 meV per atom.

a = 3.3267 Å, b = 3.3267 Å, c = 10.9919 Å
α = 90.00°, β = 90.00°, γ = 90.00°
Fractional coordinates of all 4 atoms:
K: 0.0000 0.0000 0.2013
K: 0.0000 0.0000 0.7987
In: 0.5000 0.5000 0.5000
P: 0.5000 0.5000 0.0000

***

Record 2
Below is an optimized crystal structure of HoTmLu2, with properties calculated at the PBE level.

The value obtained for the formation energy is 0.0330 eV/atom. As for the energy above the lowest structure with this stoichiometry: 2 meV per atom.

a = 3.4792 Å, b = 3.4792 Å, c = 33.9484 Å
α = 90.00°, β = 90.00°, γ = 120.00°
Fractional coordinates of all 12 atoms:
Ho: 0.0000 0.0000 0.0000
Ho: 0.3333 0.6667 0.6667
Ho: 0.6667 0.3333 0.3333
Tm: 0.0000 0.0000 0.5000
Tm: 0.3333 0.6667 0.1667
Tm: 0.6667 0.3333 0.8333
Lu: 0.0000 0.0000 0.2497
Lu: 0.0000 0.0000 0.7503
Lu: 0.3333 0.6667 0.4170
Lu: 0.3333 0.6667 0.9164
Lu: 0.6667 0.3333 0.0836
Lu: 0.6667 0.3333 0.5830

***

Record 3
Below is an optimized crystal structure of TlTcMo2S, with properties calculated at the PBE level.

The calculation puts the total energy at -4.843 eV per atom.

a = 5.1382 Å, b = 5.1382 Å, c = 4.9052 Å
α = 90.00°, β = 90.00°, γ = 90.00°
Fractional coordinates of all 5 atoms:
Tl: 0.0000 0.0000 0.0000
Tc: 0.5000 0.5000 0.5000
Mo: 0.0000 0.5000 0.0000
Mo: 0.5000 0.0000 0.0000
S: 0.0000 0.0000 0.5000

***

Summary of N(E_F) in states/eV per atom
0.510, 1.588, 1.568
(order as listed above)